VASP calculation (meta-GGA SCAN) on a PBEsol-optimized structure of HgSbF2.

Formation energy without anion corrections: -1.17 eV per atom
DOS(E_F): 0.2930 states/eV/atom

The structure in CIF format:
```
data_HgSbF2
_chemical_formula_sum 'Hg4 Sb4 F8'
_cell_length_a 4.2289
_cell_length_b 4.2289
_cell_length_c 15.8185
_cell_angle_alpha 90.00
_cell_angle_beta 90.00
_cell_angle_gamma 90.00
_symmetry_space_group_name_H-M 'I -4 2 d'
_symmetry_Int_Tables_number 122
_symmetry_space_group_name_Hall 'I -4 2bw'
loop_
_atom_site_label
_atom_site_type_symbol
_atom_site_fract_x
_atom_site_fract_y
_atom_site_fract_z
Hg1 Hg 0.0000 0.0000 0.0000
Sb1 Sb 0.0000 0.0000 0.5000
F1 F 0.1615 0.2500 0.6250
```


VASP calculation (meta-GGA SCAN) on a PBEsol-optimized structure of CaHgW2.

DOS(E_F): 0.6167 states/eV/atom
Formation enthalpy at 0 K: 0.685 eV per atom

The structure in CIF format:
```
data_CaHgW2
_chemical_formula_sum 'Ca1 Hg1 W2'
_cell_length_a 2.7828
_cell_length_b 2.7828
_cell_length_c 9.5710
_cell_angle_alpha 90.00
_cell_angle_beta 90.00
_cell_angle_gamma 90.00
_symmetry_space_group_name_H-M 'P 4 m m'
_symmetry_Int_Tables_number 99
loop_
_symmetry_equiv_pos_as_xyz
'x,y,z'
'-y,x,z'
'-x,-y,z'
'y,-x,z'
'-x,y,z'
'y,x,z'
'x,-y,z'
'-y,-x,z'
loop_
_atom_site_label
_atom_site_type_symbol
_atom_site_fract_x
_atom_site_fract_y
_atom_site_fract_z
Ca1 Ca 0.0000 0.0000 0.0000
Hg1 Hg 0.5000 0.5000 0.2646
W1 W 0.0000 0.0000 0.5022
W2 W 0.5000 0.5000 0.7331
```


VASP calculation (meta-GGA SCAN) on a PBEsol-optimized structure of CsPF6.

Formation energy without anion corrections: -2.98 eV per atom
DOS(E_F): 0.0000 states/eV/atom

The structure in CIF format:
```
data_CsPF6
_chemical_formula_sum 'Cs3 P3 F18'
_cell_length_a 5.5641
_cell_length_b 5.5641
_cell_length_c 14.7422
_cell_angle_alpha 90.00
_cell_angle_beta 90.00
_cell_angle_gamma 120.00
_symmetry_space_group_name_H-M 'R -3 m'
_symmetry_Int_Tables_number 166
_symmetry_space_group_name_Hall '-R 3 2"'
loop_
_atom_site_label
_atom_site_type_symbol
_atom_site_fract_x
_atom_site_fract_y
_atom_site_fract_z
Cs1 Cs 0.0000 0.0000 0.0000
P1 P 0.0000 0.0000 0.5000
F1 F 0.0568 0.5284 0.1030
```


VASP calculation (meta-GGA SCAN) on a PBEsol-optimized structure of Sc2In.

DOS(E_F): 0.7090 states/eV/atom
Formation enthalpy at 0 K: -0.444 eV per atom

The structure in CIF format:
```
data_Sc2In
_chemical_formula_sum 'Sc6 In3'
_cell_length_a 8.3014
_cell_length_b 8.3014
_cell_length_c 3.4165
_cell_angle_alpha 90.00
_cell_angle_beta 90.00
_cell_angle_gamma 120.00
_symmetry_space_group_name_H-M 'P -6 2 m'
_symmetry_Int_Tables_number 189
_symmetry_space_group_name_Hall 'P -6 -2'
loop_
_atom_site_label
_atom_site_type_symbol
_atom_site_fract_x
_atom_site_fract_y
_atom_site_fract_z
Sc1 Sc 0.0000 0.3763 0.0000
Sc2 Sc 0.0000 0.7097 0.5000
In1 In 0.0000 0.0000 0.0000
In2 In 0.3333 0.6667 0.5000
```


VASP calculation (meta-GGA SCAN) on a PBEsol-optimized structure of SrZn2Sb.

Formation energy without anion corrections: -0.20 eV per atom
DOS(E_F): 0.3922 states/eV/atom

The structure in CIF format:
```
data_SrZn2Sb
_chemical_formula_sum 'Sr1 Zn2 Sb1'
_cell_length_a 3.4189
_cell_length_b 3.7802
_cell_length_c 7.1423
_cell_angle_alpha 90.00
_cell_angle_beta 90.00
_cell_angle_gamma 90.00
_symmetry_space_group_name_H-M 'P m m 2'
_symmetry_Int_Tables_number 25
loop_
_symmetry_equiv_pos_as_xyz
'x,y,z'
'-x,-y,z'
'-x,y,z'
'x,-y,z'
loop_
_atom_site_label
_atom_site_type_symbol
_atom_site_fract_x
_atom_site_fract_y
_atom_site_fract_z
Sr1 Sr 0.0000 0.0000 0.0000
Zn1 Zn 0.0000 0.0000 0.4505
Zn2 Zn 0.5000 0.5000 0.2969
Sb1 Sb 0.5000 0.5000 0.6846
```


VASP calculation (meta-GGA SCAN) on a PBEsol-optimized structure of NbZnC2.

DOS(E_F): 0.5391 states/eV/atom
Formation enthalpy at 0 K: 0.703 eV per atom

The structure in CIF format:
```
data_NbZnC2
_chemical_formula_sum 'Nb4 Zn4 C8'
_cell_length_a 4.9252
_cell_length_b 4.9252
_cell_length_c 8.8122
_cell_angle_alpha 90.00
_cell_angle_beta 90.00
_cell_angle_gamma 90.00
_symmetry_space_group_name_H-M 'I -4 2 d'
_symmetry_Int_Tables_number 122
_symmetry_space_group_name_Hall 'I -4 2bw'
loop_
_atom_site_label
_atom_site_type_symbol
_atom_site_fract_x
_atom_site_fract_y
_atom_site_fract_z
Nb1 Nb 0.0000 0.0000 0.0000
Zn1 Zn 0.0000 0.0000 0.5000
C1 C 0.2448 0.2500 0.1250
```


VASP calculation (meta-GGA SCAN) on a PBEsol-optimized structure of Cd2TcSe.

Formation energy without anion corrections: 0.15 eV per atom
DOS(E_F): 0.7665 states/eV/atom

The structure in CIF format:
```
data_Cd2TcSe
_chemical_formula_sum 'Cd4 Tc2 Se2'
_cell_length_a 3.1636
_cell_length_b 4.2355
_cell_length_c 12.0952
_cell_angle_alpha 90.00
_cell_angle_beta 90.00
_cell_angle_gamma 90.00
_symmetry_space_group_name_H-M 'A m m 2'
_symmetry_Int_Tables_number 38
loop_
_symmetry_equiv_pos_as_xyz
'x,y,z'
'-x,-y,z'
'-x,y,z'
'x,-y,z'
'x,y+1/2,z+1/2'
'-x,-y+1/2,z+1/2'
'-x,y+1/2,z+1/2'
'x,-y+1/2,z+1/2'
loop_
_atom_site_label
_atom_site_type_symbol
_atom_site_fract_x
_atom_site_fract_y
_atom_site_fract_z
Cd1 Cd 0.0000 0.0000 0.0000
Cd2 Cd 0.5000 0.0000 0.3405
Tc1 Tc 0.5000 0.0000 0.5662
Se1 Se 0.0000 0.0000 0.7156
```


VASP calculation (meta-GGA SCAN) on a PBEsol-optimized structure of La2MoW.

Energy relative to the lowest polymorph listed for this composition: 795.4 meV per atom
DOS(E_F): 1.1167 states/eV/atom
Formation enthalpy at 0 K: 1.109 eV per atom

The structure in CIF format:
```
data_La2MoW
_chemical_formula_sum 'La6 Mo3 W3'
_cell_length_a 2.9501
_cell_length_b 2.9501
_cell_length_c 33.8889
_cell_angle_alpha 90.00
_cell_angle_beta 90.00
_cell_angle_gamma 120.00
_symmetry_space_group_name_H-M 'R -3 m'
_symmetry_Int_Tables_number 166
_symmetry_space_group_name_Hall '-R 3 2"'
loop_
_atom_site_label
_atom_site_type_symbol
_atom_site_fract_x
_atom_site_fract_y
_atom_site_fract_z
La1 La 0.0000 0.0000 0.2503
Mo1 Mo 0.0000 0.0000 0.0000
W1 W 0.0000 0.0000 0.5000
```


Computed calculated total energy (eV per atom) in order:
-29.30 -53.62 -11.67 -21.06 -21.84 -16.01 -28.84 -46.59
Computed M_tot (μB per formula unit) in order:
0.00 0.00 0.00 0.95 0.00 0.00 0.00 0.00